(1)
First-principles (PBE) data for a relaxed La8Sm2Sc crystal, as listed in Alexandria via LeMat-Bulk.

Calculated values
Formation energy from the elements (eV per atom): 0.102
Space-group type: Immm

```
La8Sm2Sc
1.0
-2.831 4.374 -2.644
1.864 -3.063 -7.064
-6.634 -5.204 4.951
La Sm Sc
8 2 1
Direct
0.628 0.833 0.256
0.372 0.577 0.743
0.169 0.169 0.338
0.000 0.277 0.000
0.831 0.831 0.662
0.628 0.423 0.257
0.372 0.167 0.744
0.000 0.723 0.000
0.200 0.700 0.399
0.800 0.300 0.601
0.500 0.000 0.000
```



(2)
First-principles (PBE) data for a relaxed LaSm6Sc crystal, as listed in Alexandria via LeMat-Bulk.

Calculated values
Relative energy among the computed polymorphs (meV/atom): 0
Formation energy from the elements (eV per atom): 0.039
Space-group type: P4/mmm

```
LaSm6Sc
1.0
-4.307 -2.711 -0.201
2.587 -3.972 -1.863
1.666 -3.348 9.449
La Sm Sc
1 6 1
Direct
0.000 0.000 0.000
0.500 0.500 0.000
0.500 0.500 0.500
0.500 0.000 0.259
0.500 0.000 0.741
0.000 0.500 0.259
0.000 0.500 0.741
0.000 0.000 0.500
```